No. 1
Entry from Alexandria: CaH12S2O9 at its PBEsol-relaxed geometry (SCAN).

The structure in POSCAR format:
```
CaH12S2O9
1.0
5.7241 0.0000 0.0000
0.2609 7.3996 0.0000
1.6686 3.2734 10.1676
Ca H S O
2 24 4 18
Direct
0.0902 0.3823 0.2624
0.9098 0.6177 0.7376
0.0207 0.2192 0.9017
0.0279 0.0474 0.6158
0.0716 0.3320 0.5521
0.1335 0.9719 0.7500
0.1771 0.7360 0.4708
0.1908 0.6732 0.9324
0.2564 0.7811 0.1053
0.2959 0.4186 0.9834
0.3479 0.2054 0.0659
0.3644 0.6793 0.7983
0.4458 0.0584 0.3523
0.4652 0.2173 0.4197
0.5348 0.7827 0.5803
0.5542 0.9416 0.6477
0.6356 0.3207 0.2017
0.6521 0.7946 0.9341
0.7041 0.5814 0.0166
0.7436 0.2189 0.8947
0.8092 0.3268 0.0676
0.8229 0.2640 0.5292
0.8665 0.0281 0.2500
0.9284 0.6680 0.4479
0.9721 0.9526 0.3842
0.9794 0.7808 0.0983
0.3787 0.0985 0.8578
0.4451 0.3014 0.6819
0.5549 0.6986 0.3181
0.6213 0.9015 0.1422
0.0025 0.7379 0.4980
0.0328 0.9345 0.6953
0.1293 0.7106 0.0863
0.2249 0.4071 0.6526
0.2266 0.6092 0.8625
0.3009 0.3301 0.0744
0.3644 0.5723 0.3166
0.4372 0.1976 0.3364
0.4759 0.7977 0.4189
0.5241 0.2023 0.5811
0.5628 0.8024 0.6636
0.6356 0.4277 0.6834
0.6991 0.6699 0.9256
0.7734 0.3908 0.1375
0.7751 0.5929 0.3474
0.8707 0.2894 0.9137
0.9672 0.0655 0.3047
0.9975 0.2621 0.5020
```

Calculated values
E_tot in eV per atom: -6.557

No. 2
Entry from Alexandria: AgMoSe at its PBEsol-relaxed geometry (SCAN).

The structure in POSCAR format:
```
AgMoSe
1.0
4.2149 0.0000 0.0000
-2.1074 3.6502 0.0000
0.0000 0.0000 3.3018
Ag Mo Se
1 1 1
Direct
0.0000 0.0000 0.0000
0.3333 0.6667 0.5000
0.6667 0.3333 0.5000
```

Calculated values
Formation energy without anion corrections in eV per formula unit: 1.35

Number 1: DOS at the Fermi energy 0.0 states/eV/cell. Number 2: DOS at the Fermi energy 1.8 states/eV/cell.